1.
Computed, not measured: an optimized crystal structure of BaAgTeI2 at the PBE-GGA level of DFT.

a b c (Å): 5.7223 5.7223 5.7089
angles (deg): 90.00 90.00 90.00
Element x y z (fractional)
Ba1 0.0000 0.0000 0.0000
Ag1 0.5000 0.5000 0.5000
Te1 0.5000 0.5000 0.0000
I1 0.0000 0.5000 0.5000
I2 0.5000 0.0000 0.5000

Values from the calculation:
Polymorph energy (0 for the lowest one), meV/atom: 0
Fermi-level density of states, states/eV/atom: 0.76
Space group: P4/mmm (123)

2.
Computed, not measured: an optimized crystal structure of PmNi2Sb at the PBE-GGA level of DFT.

a b c (Å): 5.3568 5.3568 5.3568
angles (deg): 47.68 47.68 47.68
Element x y z (fractional)
Pm1 0.0000 0.0000 0.0000
Ni1 0.2027 0.2027 0.2027
Ni2 0.7973 0.7973 0.7973
Sb1 0.5000 0.5000 0.5000

Values from the calculation:
E, eV/atom: -5.62
Fermi-level density of states, states/eV/atom: 0.64
Space group: R-3m (166)

3.
Computed, not measured: an optimized crystal structure of KBiP2S8 at the PBE-GGA level of DFT.

a b c (Å): 10.1954 10.1954 10.1954
angles (deg): 35.14 35.14 35.14
Element x y z (fractional)
K1 0.0000 0.0000 0.0000
Bi1 0.5000 0.5000 0.5000
P1 0.2448 0.2448 0.2448
P2 0.7552 0.7552 0.7552
S1 0.0741 0.8161 0.4363
S2 0.1839 0.5637 0.9259
S3 0.3150 0.3150 0.3150
S4 0.4363 0.0741 0.8161
S5 0.5637 0.9259 0.1839
S6 0.6850 0.6850 0.6850
S7 0.8161 0.4363 0.0741
S8 0.9259 0.1839 0.5637

Values from the calculation:
E, eV/atom: -4.32
Fermi-level density of states, states/eV/atom: 1.14
Space group: R-3 (148)

4.
Computed, not measured: an optimized crystal structure of ScCuRuPb at the PBE-GGA level of DFT.

a b c (Å): 4.6330 4.6330 4.6330
angles (deg): 60.00 60.00 60.00
Element x y z (fractional)
Sc1 0.0000 0.0000 0.0000
Cu1 0.7500 0.7500 0.7500
Ru1 0.2500 0.2500 0.2500
Pb1 0.5000 0.5000 0.5000

Values from the calculation:
Fermi-level density of states, states/eV/atom: 0.72
Energy of formation from the pure elements, meV per atom: -60
Space group: F-43m (216)